# 1
Density functional theory data (PBE) for crystalline SmVP2 at its relaxed geometry.

abc: 4.206 4.206 7.906
angles: 74.57 74.57 60.00
Element x y z (fractional)
P: 0.100 0.100 0.700
P: 0.900 0.900 0.300
Sm: 0.500 0.500 0.500
V: 0.000 0.000 0.000

- ΔE to the lowest computed polymorph: 0.756 eV per atom
- Space group: R-3m (166)
- Formation energy: 38 meV per atom

***

# 2
Density functional theory data (PBE) for crystalline PmPr3S at its relaxed geometry.

abc: 5.564 5.564 5.564
angles: 90.00 90.00 90.00
Element x y z (fractional)
Pr: 0.000 0.500 0.000
Pr: 0.000 0.000 0.500
Pr: 0.500 0.000 0.000
S: 0.000 0.000 0.000
Pm: 0.500 0.500 0.500

- Uncorrected formation energy: -0.6695 eV/atom
- Space group: Pm-3m (221)

***

# 3
Density functional theory data (PBE) for crystalline Pu2Si3NiPt4 at its relaxed geometry.

abc: 4.163 4.163 10.132
angles: 90.00 90.00 90.00
Element x y z (fractional)
Pu: 0.500 0.000 0.263
Pu: 0.000 0.500 0.737
Si: 0.000 0.000 0.500
Si: 0.500 0.000 0.868
Si: 0.000 0.500 0.132
Ni: 0.500 0.500 0.500
Pt: 0.500 0.500 0.000
Pt: 0.000 0.000 0.000
Pt: 0.500 0.000 0.635
Pt: 0.000 0.500 0.365

- Uncorrected formation energy: -0.7956 eV/atom
- Space group: P-4m2 (115)

***

# 4
Density functional theory data (PBE) for crystalline Zr5InHg at its relaxed geometry.

abc: 9.789 9.789 10.475
angles: 39.89 39.89 69.86
Element x y z (fractional)
Zr: 0.786 0.699 0.131
Zr: 0.364 0.847 0.335
Zr: 0.699 0.786 0.631
Zr: 0.691 0.309 0.250
Zr: 0.153 0.636 0.165
Zr: 0.847 0.364 0.835
Zr: 0.309 0.691 0.750
Zr: 0.301 0.214 0.369
Zr: 0.636 0.153 0.665
Zr: 0.214 0.301 0.869
In: 0.419 0.581 0.250
In: 0.581 0.419 0.750
Hg: 0.000 0.000 0.000
Hg: 0.000 0.000 0.500

- Space group: C2/c (15)
- Formation energy: 77 meV per atom

***

Number 1: calculated volume 115 Å³/cell, total energy -6.13 eV per atom. Number 2: calculated volume 172 Å³/cell, total energy -5.31 eV per atom. Number 3: calculated volume 176 Å³/cell, total energy -8.28 eV per atom. Number 4: calculated volume 332 Å³/cell, total energy -6.46 eV per atom.